Entry 1:
# Li4Ti3CrO8, optimized geometry, DFT PBE with a Hubbard U
data_Li4Ti3CrO8
_chemical_formula_sum 'Li4 Ti3 Cr1 O8'
_cell_length_a 6.0153
_cell_length_b 6.0153
_cell_length_c 6.0153
_cell_angle_alpha 58.50
_cell_angle_beta 58.50
_cell_angle_gamma 58.50
_space_group_name_H-M_alt 'P 1'
_space_group_IT_number 1
loop_
_space_group_symop_operation_xyz
'x,y,z'
loop_
_atom_site_label
_atom_site_fract_x
_atom_site_fract_y
_atom_site_fract_z
_atom_site_occupancy
Li1 0.5000 0.5000 0.5000 1
Li2 0.0000 0.5000 0.0000 1
Li3 0.0000 0.0000 0.5000 1
Li4 0.5000 0.0000 0.0000 1
Ti1 0.5000 0.0000 0.5000 1
Ti2 0.5000 0.5000 0.0000 1
Ti3 0.0000 0.5000 0.5000 1
Cr1 0.0000 0.0000 0.0000 1
O1 0.7461 0.7461 0.7461 1
O2 0.2431 0.7465 0.2431 1
O3 0.2431 0.2431 0.7465 1
O4 0.2539 0.2539 0.2539 1
O5 0.7465 0.2431 0.2431 1
O6 0.7569 0.2535 0.7569 1
O7 0.7569 0.7569 0.2535 1
O8 0.2535 0.7569 0.7569 1
# Total moment (μB/f.u.): 0.67
# SG: R-3m
# E (eV/atom): -7.354
# DOS at the Fermi energy (states/eV/atom): 0.324


Entry 2:
# Li2TiCrO4, optimized geometry, DFT PBE with a Hubbard U
data_Li2TiCrO4
_chemical_formula_sum 'Li2 Ti1 Cr1 O4'
_cell_length_a 4.1662
_cell_length_b 4.1662
_cell_length_c 5.2201
_cell_angle_alpha 113.52
_cell_angle_beta 113.52
_cell_angle_gamma 90.00
_space_group_name_H-M_alt 'P 1'
_space_group_IT_number 1
loop_
_space_group_symop_operation_xyz
'x,y,z'
loop_
_atom_site_label
_atom_site_fract_x
_atom_site_fract_y
_atom_site_fract_z
_atom_site_occupancy
Li1 0.5000 0.5000 0.0000 1
Li2 0.7500 0.2500 0.5000 1
Ti1 0.0000 0.0000 0.0000 1
Cr1 0.2500 0.7500 0.5000 1
O1 0.7725 0.7725 0.5450 1
O2 0.2275 0.2275 0.4550 1
O3 0.4892 0.9892 0.9784 1
O4 0.0108 0.5108 0.0216 1
# Total moment (μB/f.u.): 3.92
# SG: I-4m2
# E (eV/atom): -7.197
# DOS at the Fermi energy (states/eV/atom): 0.192
# Relative energy among the computed polymorphs (eV per atom): 0.0031